5
Lattice="-0.198 -4.051 2.482 -2.197 -2.124 -3.643 4.212 -1.298 -1.784" Properties=species:S:1:pos:R:3 comment="NbTeMo3 meta-GGA SCAN PBEsol geometry" sg="Pm-3m, No. 221" total_energy_ev_per_atom=-33.0760 pbc="T T T"
Mo -1.099 -1.062 -1.821
Mo 2.106 -0.649 -0.892
Mo -0.099 -2.026 1.241
Te 0.000 0.000 0.000
Nb 0.908 -3.737 -1.472

4
Lattice="-2.003 0.869 1.377 -0.407 -0.890 2.389 4.472 6.744 4.667" Properties=species:S:1:pos:R:3 comment="LiCr2Mo meta-GGA SCAN PBEsol geometry" sg="R3m, No. 160" formation_energy_mev_per_atom=564 relative_energy_ev_per_fu=1.11 pbc="T T T"
Cr 4.412 6.667 4.628
Cr 1.627 5.145 6.377
Li 1.091 3.438 4.255
Mo 0.436 1.579 2.057

7
Lattice="5.427 0.000 0.000 -2.713 4.700 0.000 0.000 0.000 5.557" Properties=species:S:1:pos:R:3 comment="Zr4Ta3 meta-GGA SCAN PBEsol geometry" sg="P6/mmm, No. 191" formation_energy_mev_per_atom=70 pbc="T T T"
Zr 0.000 0.000 4.084
Zr 0.000 0.000 1.473
Zr 0.000 3.133 2.779
Zr 2.713 1.567 2.779
Ta -1.357 2.350 0.000
Ta 2.713 0.000 0.000
Ta 1.357 2.350 0.000

4
Lattice="4.031 0.000 0.000 0.000 4.031 0.000 -2.016 -2.016 3.809" Properties=species:S:1:pos:R:3 comment="ReAg2W meta-GGA SCAN PBEsol geometry" sg="I-4m2, No. 119" formation_energy_mev_per_atom=748 relative_energy_ev_per_fu=1.01 pbc="T T T"
Ag 0.000 0.000 0.000
Ag 2.016 0.000 1.905
Re 2.016 2.016 0.000
W 0.000 2.016 1.905

11
Lattice="-3.239 2.333 3.480 -1.730 -4.427 -2.672 2.186 -3.499 4.381" Properties=species:S:1:pos:R:3 comment="Li2Fe2SiO6 meta-GGA SCAN PBEsol geometry" sg="C222, No. 21" total_energy_ev_per_atom=-10.1956 pbc="T T T"
Li 0.470 -0.752 0.941
Li 1.717 -2.748 3.440
Fe -0.669 -3.953 4.043
Fe -0.495 -2.806 -0.594
Si -0.526 -0.583 3.930
O -1.083 -1.054 -0.301
O -3.886 -1.040 1.109
O -1.912 -4.509 2.774
O -1.363 -4.305 0.087
O -2.101 -0.197 3.736
O -0.189 -2.174 3.779

4
Lattice="3.505 0.000 0.000 -1.752 2.982 0.000 0.000 0.000 8.529" Properties=species:S:1:pos:R:3 comment="ZnAsCl2 meta-GGA SCAN PBEsol geometry" sg="Cmm2, No. 35" total_energy_ev_per_atom=-12.6979 pbc="T T T"
As 1.752 0.000 6.208
Zn 0.000 0.000 4.304
Cl 0.000 0.000 8.018
Cl 1.752 0.000 2.793

5
Lattice="4.099 0.000 0.000 0.000 4.099 0.000 -2.049 -2.049 4.813" Properties=species:S:1:pos:R:3 comment="NpSi2Os2 meta-GGA SCAN PBEsol geometry" sg="I4/mmm, No. 139" total_energy_ev_per_atom=-54.5572 pbc="T T T"
Np 0.000 0.000 0.000
Si 0.000 0.000 3.623
Si 2.049 2.049 1.189
Os 2.049 0.000 2.406
Os 0.000 2.049 2.406

24
Lattice="5.051 0.011 0.022 -0.825 4.972 -0.027 -2.480 -0.478 8.291" Properties=species:S:1:pos:R:3 comment="Li2VCrO4 meta-GGA SCAN PBEsol geometry" sg="P1, No. 1" relative_energy_ev_per_fu=0.04 pbc="T T T"
Li 0.011 0.026 0.005
Li -0.809 2.394 1.376
Li -0.826 -0.154 2.763
Li 3.386 2.287 4.120
Li 2.554 4.658 5.523
Li 2.571 2.052 6.942
V 1.728 3.689 0.620
V 0.844 1.007 4.883
V 0.046 3.336 6.225
Cr 1.701 1.138 2.080
Cr 0.872 3.563 3.428
Cr 0.046 0.782 7.620
O 3.280 0.561 1.010
O 0.961 1.842 0.376
O 2.439 2.964 2.364
O 0.145 4.288 1.736
O 2.430 0.409 3.776
O 0.132 1.744 3.135
O 1.638 2.833 5.124
O -0.701 4.114 4.504
O -0.755 1.512 5.949
O 1.622 0.212 6.578
O 0.845 2.579 7.911
O -1.562 3.961 7.251